Entry 1:
# KDyCdSe3 (PBE-GGA, optimized geometry)
# * formation energy from raw total energies: -1.333 eV per atom
# * E_tot: -25.1 eV/f.u.
# * crystal system: monoclinic
# * density of states at the Fermi level: 0.0000 states/eV per atom
data_KDyCdSe3
_chemical_formula_sum 'K2 Dy2 Cd2 Se6'
_space_group_name_H-M_alt 'P 1 21/m 1'
_space_group_IT_number 11
_cell_length_a 8.948
_cell_length_b 4.260
_cell_length_c 10.249
_cell_angle_alpha 90.00
_cell_angle_beta 107.42
_cell_angle_gamma 90.00
loop_
_space_group_symop_operation_xyz
'x,y,z'
'-x,-y,-z'
'-x,y+1/2,-z'
'x,-y+1/2,z'
loop_
_atom_site_label
_atom_site_type_symbol
_atom_site_fract_x
_atom_site_fract_y
_atom_site_fract_z
_atom_site_occupancy
K1 K 0.212 0.250 0.230 1
Dy1 Dy 0.330 0.750 0.865 1
Cd1 Cd 0.085 0.250 0.610 1
Se1 Se 0.108 0.250 0.870 1
Se2 Se 0.232 0.750 0.545 1
Se3 Se 0.460 0.750 0.151 1

---

Entry 2:
# LaDy3Cd2 (PBE-GGA, optimized geometry)
# * E_tot: -21.8 eV/f.u.
# * crystal system: tetragonal
# * density of states at the Fermi level: 1.3761 states/eV per atom
data_LaDy3Cd2
_chemical_formula_sum 'La1 Dy3 Cd2'
_space_group_name_H-M_alt 'P 4/m m m'
_space_group_IT_number 123
_space_group_name_Hall '-P 4 2'
_cell_length_a 3.704
_cell_length_b 3.704
_cell_length_c 12.695
_cell_angle_alpha 90.00
_cell_angle_beta 90.00
_cell_angle_gamma 90.00
loop_
_atom_site_label
_atom_site_type_symbol
_atom_site_fract_x
_atom_site_fract_y
_atom_site_fract_z
_atom_site_occupancy
La1 La 0.000 0.000 0.000 1
Dy1 Dy 0.500 0.500 0.201 1
Dy2 Dy 0.500 0.500 0.500 1
Cd1 Cd 0.000 0.000 0.350 1